[1]
A relaxed NaSr3Nd2Te6 crystal, computed with PBE.

* Fermi-level density of states: 0.327 states/eV per atom
* magnetic moment: 0.00 μB per cell
* total DFT energy (no corrections): -4.4297 eV per atom
* formation energy from raw total energies: -1.534 eV per atom

```
NaSr3Nd2Te6
1.0
4.013 -6.945 0.000
4.013 6.945 0.000
-2.673 0.000 7.578
Na Sr Nd Te
1 3 2 6
Direct
0.000 0.000 0.000 Na
0.165 0.835 0.500 Sr
0.500 0.500 0.500 Sr
0.835 0.165 0.500 Sr
0.333 0.667 0.000 Nd
0.667 0.333 0.000 Nd
0.080 0.418 0.239 Te
0.258 0.258 0.762 Te
0.418 0.080 0.239 Te
0.582 0.920 0.761 Te
0.742 0.742 0.238 Te
0.920 0.582 0.761 Te
```


[2]
A relaxed NaSrNd2Tl4 crystal, computed with PBE.

* energy relative to the elements: -0.31 eV/atom
* Fermi-level density of states: 0.687 states/eV per atom
* magnetic moment: 0.00 μB per cell
* total DFT energy (no corrections): -3.0571 eV per atom

```
NaSrNd2Tl4
1.0
2.759 1.593 9.203
-2.759 1.593 9.203
0.000 -3.186 9.203
Na Sr Nd Tl
1 1 2 4
Direct
0.000 0.000 0.000 Na
0.500 0.500 0.500 Sr
0.255 0.255 0.255 Nd
0.745 0.745 0.745 Nd
0.121 0.121 0.121 Tl
0.374 0.374 0.374 Tl
0.626 0.626 0.626 Tl
0.879 0.879 0.879 Tl
```


[3]
A relaxed NaSrNdZn crystal, computed with PBE.

* energy relative to the elements: 0.07 eV/atom
* Fermi-level density of states: 0.690 states/eV per atom
* magnetic moment: 0.00 μB per cell
* total DFT energy (no corrections): -2.1916 eV per atom

```
NaSrNdZn
1.0
7.934 0.000 0.000
0.000 7.934 0.000
0.000 0.000 7.934
Na Sr Nd Zn
4 4 4 4
Direct
0.000 0.000 0.000 Na
0.000 0.500 0.500 Na
0.500 0.000 0.500 Na
0.500 0.500 0.000 Na
0.250 0.250 0.750 Sr
0.250 0.750 0.250 Sr
0.750 0.250 0.250 Sr
0.750 0.750 0.750 Sr
0.250 0.250 0.250 Nd
0.250 0.750 0.750 Nd
0.750 0.250 0.750 Nd
0.750 0.750 0.250 Nd
0.000 0.000 0.500 Zn
0.000 0.500 0.000 Zn
0.500 0.000 0.000 Zn
0.500 0.500 0.500 Zn
```


[4]
A relaxed NaTbNd2 crystal, computed with PBE.

* energy relative to the elements: 0.10 eV/atom
* Fermi-level density of states: 0.939 states/eV per atom
* magnetic moment: 0.00 μB per cell
* excess energy over the best structure of this formula in the dataset: 0.000 eV per atom
* total DFT energy (no corrections): -3.7760 eV per atom

```
NaTbNd2
1.0
3.558 0.000 0.000
0.000 3.558 0.000
0.000 0.000 10.966
Na Tb Nd
1 1 2
Direct
0.000 0.000 0.000 Na
0.000 0.000 0.500 Tb
0.500 0.500 0.267 Nd
0.500 0.500 0.733 Nd
```


[5]
A relaxed NaTbNd crystal, computed with PBE.

* energy relative to the elements: 0.11 eV/atom
* Fermi-level density of states: 1.167 states/eV per atom
* magnetic moment: 0.00 μB per cell
* excess energy over the best structure of this formula in the dataset: 0.000 eV per atom
* total DFT energy (no corrections): -3.4614 eV per atom

```
NaTbNd
1.0
21.158 0.000 0.000
0.000 3.540 0.000
0.000 0.000 5.638
Na Tb Nd
4 4 4
Direct
0.208 0.000 0.249 Na
0.292 0.500 0.751 Na
0.708 0.500 0.249 Na
0.792 0.000 0.751 Na
0.041 0.000 0.250 Tb
0.459 0.500 0.750 Tb
0.541 0.500 0.250 Tb
0.959 0.000 0.750 Tb
0.107 0.500 0.750 Nd
0.393 0.000 0.250 Nd
0.607 0.000 0.750 Nd
0.893 0.500 0.250 Nd
```


[6]
A relaxed NaTbNd crystal, computed with PBE.

* energy relative to the elements: 0.12 eV/atom
* Fermi-level density of states: 1.328 states/eV per atom
* magnetic moment: 0.00 μB per cell
* excess energy over the best structure of this formula in the dataset: 0.009 eV per atom
* total DFT energy (no corrections): -3.4528 eV per atom

```
NaTbNd
1.0
3.598 0.000 0.000
-1.799 3.116 0.000
0.000 0.000 9.261
Na Tb Nd
1 1 1
Direct
0.000 0.000 0.000 Na
0.667 0.333 0.345 Tb
0.333 0.667 0.648 Nd
```


The lowest total DFT energy (no corrections) belongs to which entry? NaSr3Nd2Te6